No. 1
A plane-wave DFT calculation with GGA-PBE was carried out for a relaxed structure of Ac8NdEr2.

Cell: 13.467 12.267 6.216 Å, 90.00 102.98 90.00°
Space group C2/m (No. 12)
Asymmetric unit:
1 Ac 0.080 0.000 0.293 x4
2 Ac 0.111 0.246 0.811 x8
3 Ac 0.143 0.500 0.506 x4
4 Nd 0.000 0.500 0.000 x2
5 Er 0.239 0.000 0.921 x4

## Properties
Its formation enthalpy at 0 K is 0.359 eV/atom.

No. 2
A plane-wave DFT calculation with GGA-PBE was carried out for a relaxed structure of YZn2Br.

Cell: 3.484 4.653 5.492 Å, 90.00 90.00 90.00°
Space group Pmmm (No. 47)
Asymmetric unit:
1 Y 0.000 0.000 0.000 x1
2 Zn 0.000 0.500 0.500 x1
3 Zn 0.500 0.000 0.500 x1
4 Br 0.500 0.500 0.000 x1

## Properties
Its offset from the most stable computed form is 0.51 eV per formula unit. For the uncorrected formation energy, the calculation gives -334 meV/atom.

No. 3
A plane-wave DFT calculation with GGA-PBE was carried out for a relaxed structure of Ac8Pd4Au3.

Cell: 12.638 12.672 8.939 Å, 90.00 134.68 90.00°
Space group C2/m (No. 12)
Asymmetric unit:
1 Ac 0.000 0.243 0.000 x4
2 Ac 0.000 0.245 0.500 x4
3 Ac 0.236 0.000 0.482 x4
4 Ac 0.241 0.000 0.992 x4
5 Pd 0.000 0.000 0.000 x2
6 Pd 0.000 0.000 0.500 x2
7 Pd 0.250 0.250 0.000 x4
8 Au 0.000 0.500 0.500 x2
9 Au 0.250 0.250 0.500 x4

## Properties
Its formation enthalpy at 0 K is -0.720 eV/atom.

No. 4
A plane-wave DFT calculation with GGA-PBE was carried out for a relaxed structure of Ce4GeTe2Pb.

Cell: 7.689 4.457 7.756 Å, 90.00 109.49 90.00°
Space group P2/m (No. 10)
Asymmetric unit:
1 Ce 0.233 0.000 0.233 x2
2 Ce 0.242 0.500 0.759 x2
3 Ge 0.000 0.500 0.000 x1
4 Te 0.500 0.000 0.000 x1
5 Te 0.500 0.500 0.500 x1
6 Pb 0.000 0.000 0.500 x1

## Properties
For the uncorrected formation energy, the calculation gives -958 meV/atom.

No. 5
A plane-wave DFT calculation with GGA-PBE was carried out for a relaxed structure of CrInNi.

Cell: 5.987 5.987 5.987 Å, 90.00 90.00 90.00°
Space group F-43m (No. 216)
Asymmetric unit:
1 Cr 0.000 0.000 0.000 x4
2 In 0.000 0.000 0.500 x4
3 Ni 0.250 0.250 0.750 x4

## Properties
Its formation enthalpy at 0 K is 0.342 eV/atom.

No. 6
A plane-wave DFT calculation with GGA-PBE was carried out for a relaxed structure of VAsPS2.

Cell: 4.697 4.697 4.648 Å, 90.00 90.00 90.00°
Space group P4/mmm (No. 123)
Asymmetric unit:
1 V 0.000 0.000 0.000 x1
2 As 0.500 0.500 0.500 x1
3 P 0.500 0.500 0.000 x1
4 S 0.000 0.500 0.500 x2

## Properties
Its offset from the most stable computed form is 2.46 eV per formula unit. For the uncorrected formation energy, the calculation gives 796 meV/atom.

No. 7
A plane-wave DFT calculation with GGA-PBE was carried out for a relaxed structure of ReGeNO2.

Cell: 4.036 4.036 3.777 Å, 90.00 90.00 90.00°
Space group P4/mmm (No. 123)
Asymmetric unit:
1 Re 0.000 0.000 0.000 x1
2 Ge 0.500 0.500 0.000 x1
3 N 0.000 0.000 0.500 x1
4 O 0.000 0.500 0.500 x2

## Properties
For the uncorrected formation energy, the calculation gives 1066 meV/atom.

No. 8
A plane-wave DFT calculation with GGA-PBE was carried out for a relaxed structure of TiZnW2.

Cell: 7.146 7.146 5.285 Å, 90.00 90.00 90.00°
Space group I-42d (No. 122)
Asymmetric unit:
1 Ti 0.000 0.000 0.000 x4
2 Zn 0.000 0.000 0.500 x4
3 W 0.237 0.250 0.625 x8

## Properties
Its formation enthalpy at 0 K is 0.820 eV/atom.